4
Lattice="0.000 3.134 3.134 3.134 0.000 3.134 3.134 3.134 0.000" Properties=species:S:1:pos:R:3 comment="IrRu2Au (GGA-PBE, relaxed)" e_form_ev_per_atom=0.637 space_group="Fm-3m, No. 225" magnetic_moment_mub_per_cell=1.684 polymorph_energy_mev_per_atom=423.4 e_tot_ev_per_atom=-7.04 pbc="T T T"
Ir 0.000 0.000 0.000
Ru 1.567 1.567 1.567
Ru 4.701 4.701 4.701
Au 3.134 3.134 3.134

6
Lattice="0.000 3.966 3.966 3.966 0.000 3.966 3.966 3.966 0.000" Properties=species:S:1:pos:R:3 comment="YAs5 (GGA-PBE, relaxed)" e_form_ev_per_atom=-0.052 space_group="F-43m, No. 216" magnetic_moment_mub_per_cell=0.000 e_tot_ev_per_atom=-5.00 pbc="T T T"
Y 0.000 0.000 0.000
As 2.985 2.985 2.985
As 4.947 4.947 2.985
As 4.947 2.985 4.947
As 5.949 5.949 5.949
As 2.985 4.947 4.947

4
Lattice="4.392 -1.407 0.000 4.392 1.407 0.000 -0.969 0.000 4.423" Properties=species:S:1:pos:R:3 comment="Zn2FeIr (GGA-PBE, relaxed)" e_form_ev_per_atom=-0.067 space_group="C2/m, No. 12" magnetic_moment_mub_per_cell=2.601 e_tot_ev_per_atom=-5.03 pbc="T T T"
Zn 1.954 0.000 1.098
Zn 5.861 0.000 3.325
Fe 4.392 0.000 0.000
Ir -0.485 0.000 2.211

8
Lattice="7.077 0.000 0.000 0.000 4.116 0.000 -2.353 0.000 6.792" Properties=species:S:1:pos:R:3 comment="CaPm2HfAs4 (GGA-PBE, relaxed)" e_form_ev_per_atom=-1.282 space_group="P2/m, No. 10" magnetic_moment_mub_per_cell=0.000 e_tot_ev_per_atom=-6.29 pbc="T T T"
Ca 0.000 0.000 0.000
Pm 2.362 0.000 3.396
Pm 3.538 2.058 0.000
Hf -1.177 2.058 3.396
As -0.096 0.000 4.975
As 1.071 2.058 1.769
As 3.653 2.058 5.024
As 4.819 0.000 1.817